1.
{
  "formula": "Tb6Cd2Cu",
  "functional": "PBE",
  "state": "relaxed",
  "cell": [[6.2410, 0.0000, 0.7796], [0.0000, 9.2880, 0.0000], [0.5078, 0.0000, 8.8173]],
  "species": ["Tb", "Tb", "Tb", "Tb", "Tb", "Tb", "Tb", "Tb", "Tb", "Tb", "Tb", "Tb", "Cu", "Cu", "Cd", "Cd", "Cd", "Cd"],
  "frac_coords": [[0.8963, 0.6894, 0.9462], [0.6173, 0.4661, 0.2891], [0.1068, 0.3255, 0.4730], [0.3963, 0.8106, 0.4462], [0.1037, 0.3106, 0.0538], [0.3827, 0.5339, 0.7109], [0.8827, 0.9661, 0.2109], [0.6037, 0.1894, 0.5538], [0.3932, 0.8255, 0.0270], [0.1173, 0.0339, 0.7891], [0.6068, 0.1745, 0.9730], [0.8932, 0.6745, 0.5270], [0.0000, 0.0000, 0.5000], [0.5000, 0.5000, 0.0000], [0.3621, 0.0964, 0.2783], [0.6379, 0.9036, 0.7217], [0.1379, 0.5964, 0.2217], [0.8621, 0.4036, 0.7783]],
  "magnetic_moment_mub_per_cell": 0.000,
  "n_ef_per_ev_atom": 1.274,
  "energy_ev_per_atom": -3.81
}



2.
{
  "formula": "TbCd2Cu6",
  "functional": "PBE",
  "state": "relaxed",
  "cell": [[-3.1317, -1.7367, -0.0544], [0.3776, -4.1830, -6.0901], [1.9162, -7.1447, -0.1084]],
  "species": ["Tb", "Cu", "Cu", "Cu", "Cu", "Cu", "Cu", "Cd", "Cd"],
  "frac_coords": [[0.0000, 0.0000, 0.0000], [0.6793, 0.6343, 0.0071], [0.5000, 0.6789, 0.3211], [0.3207, 0.3657, 0.9929], [0.5000, 0.3211, 0.6789], [0.6793, 0.0071, 0.6343], [0.3207, 0.9929, 0.3657], [0.8639, 0.6361, 0.6361], [0.1361, 0.3639, 0.3639]],
  "magnetic_moment_mub_per_cell": 0.000,
  "n_ef_per_ev_atom": 0.313,
  "energy_ev_per_atom": -3.40
}



3.
{
  "formula": "Tb4CdCu3",
  "functional": "PBE",
  "state": "relaxed",
  "cell": [[3.5509, 0.0000, 0.0000], [0.0000, 5.0696, 0.0000], [0.0000, 0.0000, 10.0211]],
  "species": ["Cu", "Cu", "Cu", "Cd", "Tb", "Tb", "Tb", "Tb"],
  "frac_coords": [[0.5000, 0.5000, 0.5000], [0.5000, 0.0000, 0.7526], [0.5000, 0.0000, 0.2474], [0.5000, 0.5000, 0.0000], [0.0000, 0.0000, 0.5000], [0.0000, 0.0000, 0.0000], [0.0000, 0.5000, 0.7352], [0.0000, 0.5000, 0.2648]],
  "magnetic_moment_mub_per_cell": 0.000,
  "n_ef_per_ev_atom": 0.695,
  "energy_ev_per_atom": -4.20
}



4.
{
  "formula": "Tb5CdCu4",
  "functional": "PBE",
  "state": "relaxed",
  "cell": [[-2.9587, -0.6428, 1.7571], [1.8705, -1.0867, 2.7522], [0.2076, 16.9018, 6.5324]],
  "species": ["Cu", "Cu", "Cu", "Cu", "Tb", "Tb", "Tb", "Tb", "Tb", "Cd"],
  "frac_coords": [[0.0000, 0.0000, 0.4043], [0.0000, 0.0000, 0.5957], [0.0000, 0.0000, 0.2113], [0.0000, 0.0000, 0.7887], [0.5000, 0.5000, 0.8820], [0.5000, 0.5000, 0.1180], [0.5000, 0.5000, 0.5000], [0.5000, 0.5000, 0.6918], [0.5000, 0.5000, 0.3082], [0.0000, 0.0000, 0.0000]],
  "magnetic_moment_mub_per_cell": 0.000,
  "n_ef_per_ev_atom": 0.696,
  "energy_ev_per_atom": -4.30
}



5.
{
  "formula": "Tb6Cd5Cu",
  "functional": "PBE",
  "state": "relaxed",
  "cell": [[-5.1490, -0.1797, -0.9412], [-0.3857, -6.6756, 3.3848], [-3.9567, 3.4788, 6.4101]],
  "species": ["Cd", "Cd", "Cd", "Cd", "Cd", "Tb", "Tb", "Tb", "Tb", "Tb", "Tb", "Cu"],
  "frac_coords": [[0.6731, 0.0000, 0.6537], [0.3269, 0.0000, 0.3463], [0.6701, 0.5000, 0.6597], [0.0000, 0.5000, 0.0000], [0.3299, 0.5000, 0.3403], [0.1599, 0.2436, 0.6802], [0.8401, 0.2436, 0.3198], [0.5000, 0.7636, 0.0000], [0.5000, 0.2364, 0.0000], [0.8401, 0.7564, 0.3198], [0.1599, 0.7564, 0.6802], [0.0000, 0.0000, 0.0000]],
  "magnetic_moment_mub_per_cell": 0.002,
  "n_ef_per_ev_atom": 1.166,
  "energy_ev_per_atom": -3.32
}



6.
{
  "formula": "TbCdCu2",
  "functional": "PBE",
  "state": "relaxed",
  "cell": [[3.3877, 0.0000, 0.0000], [0.0000, 3.3877, 0.0000], [0.0000, 0.0000, 6.5918]],
  "species": ["Cu", "Cu", "Cd", "Tb"],
  "frac_coords": [[0.0000, 0.0000, 0.7704], [0.0000, 0.0000, 0.2296], [0.5000, 0.5000, 0.0000], [0.5000, 0.5000, 0.5000]],
  "magnetic_moment_mub_per_cell": 0.000,
  "n_ef_per_ev_atom": 0.595,
  "energy_ev_per_atom": -3.52
}



7.
{
  "formula": "Tb5Cd4Cu",
  "functional": "PBE",
  "state": "relaxed",
  "cell": [[3.6533, 0.0000, 0.0000], [0.0000, 3.6533, 0.0000], [0.0000, 0.0000, 19.0907]],
  "species": ["Tb", "Tb", "Tb", "Tb", "Tb", "Cd", "Cd", "Cd", "Cd", "Cu"],
  "frac_coords": [[0.5000, 0.5000, 0.5000], [0.5000, 0.5000, 0.0869], [0.5000, 0.5000, 0.7059], [0.5000, 0.5000, 0.2941], [0.5000, 0.5000, 0.9131], [0.0000, 0.0000, 0.1922], [0.0000, 0.0000, 0.3975], [0.0000, 0.0000, 0.8078], [0.0000, 0.0000, 0.6025], [0.0000, 0.0000, 0.0000]],
  "magnetic_moment_mub_per_cell": 0.377,
  "n_ef_per_ev_atom": 1.043,
  "energy_ev_per_atom": -3.38
}



8.
{
  "formula": "Tb3Cd3Cu2",
  "functional": "PBE",
  "state": "relaxed",
  "cell": [[3.7677, 0.0000, 0.0000], [0.0000, 6.5175, -3.7629], [0.0000, 0.0000, 7.5258]],
  "species": ["Cd", "Cd", "Cd", "Tb", "Tb", "Tb", "Cu", "Cu"],
  "frac_coords": [[0.0000, 0.7676, 0.7676], [0.0000, 0.0000, 0.2324], [0.0000, 0.2324, 0.0000], [0.5000, 0.5814, 0.0000], [0.5000, 0.4186, 0.4186], [0.5000, 0.0000, 0.5814], [0.0000, 0.3333, 0.6667], [0.0000, 0.6667, 0.3333]],
  "magnetic_moment_mub_per_cell": 0.000,
  "n_ef_per_ev_atom": 0.825,
  "energy_ev_per_atom": -3.39
}



9.
{
  "formula": "Tb2Cd5Cu",
  "functional": "PBE",
  "state": "relaxed",
  "cell": [[-1.8934, 4.2295, 0.6780], [-3.0143, 0.6793, 3.5193], [6.3787, 4.2033, 7.7681]],
  "species": ["Cd", "Cd", "Cd", "Cd", "Cd", "Tb", "Tb", "Cu"],
  "frac_coords": [[0.6445, 0.6445, 0.0665], [0.5000, 0.5000, 0.5000], [0.3555, 0.3555, 0.9335], [0.1975, 0.1975, 0.4075], [0.8025, 0.8025, 0.5925], [0.0871, 0.0871, 0.7387], [0.9129, 0.9129, 0.2613], [0.0000, 0.0000, 0.0000]],
  "magnetic_moment_mub_per_cell": 0.000,
  "n_ef_per_ev_atom": 0.758,
  "energy_ev_per_atom": -2.30
}



10.
{
  "formula": "Tb6CdCu2",
  "functional": "PBE",
  "state": "relaxed",
  "cell": [[8.0428, -0.0617, -2.8744], [-4.3154, 6.9710, -2.3946], [-0.0326, 0.0617, 8.5409]],
  "species": ["Cu", "Cu", "Cu", "Cu", "Tb", "Tb", "Tb", "Tb", "Tb", "Tb", "Tb", "Tb", "Tb", "Tb", "Tb", "Tb", "Cd", "Cd"],
  "frac_coords": [[0.5000, 0.3811, 0.8811], [0.3505, 0.0000, 0.3505], [0.5000, 0.6189, 0.1189], [0.6495, 0.0000, 0.6495], [0.3049, 0.9835, 0.6786], [0.5330, 0.7165, 0.8164], [0.8050, 0.7595, 0.5645], [0.0999, 0.2835, 0.8164], [0.1950, 0.2405, 0.4355], [0.6951, 0.0165, 0.3214], [0.3049, 0.6264, 0.3214], [0.9001, 0.7165, 0.1836], [0.8050, 0.2405, 0.0455], [0.4670, 0.2835, 0.1836], [0.1950, 0.7595, 0.9545], [0.6951, 0.3736, 0.6786], [0.0000, 0.5000, 0.5000], [0.0000, 0.0000, 0.0000]],
  "magnetic_moment_mub_per_cell": 0.000,
  "n_ef_per_ev_atom": 1.054,
  "energy_ev_per_atom": -4.27
}



11.
{
  "formula": "Tb2CdCu9",
  "functional": "PBE",
  "state": "relaxed",
  "cell": [[-2.6331, -2.0482, 3.8766], [-0.1853, -5.0798, 0.5639], [5.8139, -2.0968, 6.2148]],
  "species": ["Cu", "Cu", "Cu", "Cu", "Cu", "Cu", "Cu", "Cu", "Cu", "Cd", "Tb", "Tb"],
  "frac_coords": [[0.5826, 0.0799, 0.7548], [0.5826, 0.5826, 0.7548], [0.0799, 0.5826, 0.7548], [0.9201, 0.4174, 0.2452], [0.6672, 0.6672, 0.9983], [0.4174, 0.4174, 0.2452], [0.4174, 0.9201, 0.2452], [0.3328, 0.3328, 0.0017], [0.5000, 0.5000, 0.5000], [0.0000, 0.0000, 0.0000], [0.8642, 0.8642, 0.4075], [0.1358, 0.1358, 0.5925]],
  "magnetic_moment_mub_per_cell": 0.000,
  "n_ef_per_ev_atom": 0.458,
  "energy_ev_per_atom": -4.02
}



12.
{
  "formula": "TbCd2Cu9",
  "functional": "PBE",
  "state": "relaxed",
  "cell": [[-1.5404, -2.0532, -4.3733], [-0.1684, -5.0420, -0.5134], [-8.1404, -2.3846, 1.0469]],
  "species": ["Cu", "Cu", "Cu", "Cu", "Cu", "Cu", "Cu", "Cu", "Cu", "Cd", "Cd", "Tb"],
  "frac_coords": [[0.3334, 0.3334, 0.9998], [0.4151, 0.4151, 0.2514], [0.5849, 0.5849, 0.7486], [0.0816, 0.5849, 0.7486], [0.5000, 0.5000, 0.5000], [0.9184, 0.4151, 0.2514], [0.5849, 0.0816, 0.7486], [0.4151, 0.9184, 0.2514], [0.6666, 0.6666, 0.0002], [0.8566, 0.8566, 0.4303], [0.1434, 0.1434, 0.5697], [0.0000, 0.0000, 0.0000]],
  "magnetic_moment_mub_per_cell": 0.000,
  "n_ef_per_ev_atom": 0.512,
  "energy_ev_per_atom": -3.72
}



13.
{
  "formula": "Tb3CdCu",
  "functional": "PBE",
  "state": "relaxed",
  "cell": [[-0.5946, 1.4227, -3.4238], [-0.2378, -8.4279, -3.4613], [-8.3025, -3.7591, -0.1205]],
  "species": ["Tb", "Tb", "Tb", "Tb", "Tb", "Tb", "Cu", "Cu", "Cd", "Cd"],
  "frac_coords": [[0.3630, 0.0204, 0.0727], [0.8631, 0.6079, 0.0630], [0.8635, 0.3776, 0.8323], [0.3630, 0.3683, 0.4206], [0.8631, 0.7801, 0.4299], [0.8635, 0.0106, 0.6603], [0.3633, 0.6944, 0.2461], [0.3637, 0.1939, 0.7465], [0.8630, 0.1943, 0.2466], [0.3632, 0.6940, 0.7464]],
  "magnetic_moment_mub_per_cell": 0.000,
  "n_ef_per_ev_atom": 1.130,
  "energy_ev_per_atom": -3.80
}



14.
{
  "formula": "Tb2CdCu2",
  "functional": "PBE",
  "state": "relaxed",
  "cell": [[-2.5654, -1.2705, 2.4708], [5.4542, -1.1748, 5.0590], [-0.9321, 6.9957, 2.6293]],
  "species": ["Cu", "Cu", "Cu", "Cu", "Tb", "Tb", "Tb", "Tb", "Cd", "Cd"],
  "frac_coords": [[0.0000, 0.1200, 0.6200], [0.0000, 0.8800, 0.3800], [0.0000, 0.6200, 0.8800], [0.0000, 0.3800, 0.1200], [0.5000, 0.6741, 0.1741], [0.5000, 0.3259, 0.8259], [0.5000, 0.1741, 0.3259], [0.5000, 0.8259, 0.6741], [0.0000, 0.0000, 0.0000], [0.0000, 0.5000, 0.5000]],
  "magnetic_moment_mub_per_cell": 0.000,
  "n_ef_per_ev_atom": 1.020,
  "energy_ev_per_atom": -3.98
}



15.
{
  "formula": "Tb4Cd5Cu2",
  "functional": "PBE",
  "state": "relaxed",
  "cell": [[3.5955, 0.0000, 0.0000], [0.0000, 7.6349, 0.0329], [0.0000, -0.6963, 9.6281]],
  "species": ["Cu", "Cu", "Tb", "Tb", "Tb", "Tb", "Cd", "Cd", "Cd", "Cd", "Cd"],
  "frac_coords": [[0.0000, 0.0605, 0.6288], [0.0000, 0.9395, 0.3712], [0.5000, 0.1663, 0.8571], [0.5000, 0.8337, 0.1429], [0.5000, 0.2340, 0.4440], [0.5000, 0.7660, 0.5560], [0.0000, 0.1839, 0.1541], [0.0000, 0.5552, 0.3135], [0.0000, 0.5000, 0.0000], [0.0000, 0.4448, 0.6865], [0.0000, 0.8161, 0.8459]],
  "magnetic_moment_mub_per_cell": 0.000,
  "n_ef_per_ev_atom": 0.744,
  "energy_ev_per_atom": -3.12
}



16.
{
  "formula": "Tb12CdCu6",
  "functional": "PBE",
  "state": "relaxed",
  "cell": [[-1.9396, 1.9779, 8.1082], [7.9336, -3.2191, -0.3351], [-0.4259, 7.0566, -4.8415]],
  "species": ["Tb", "Tb", "Tb", "Tb", "Tb", "Tb", "Tb", "Tb", "Tb", "Tb", "Tb", "Tb", "Cu", "Cu", "Cu", "Cu", "Cu", "Cu", "Cd"],
  "frac_coords": [[0.2963, 0.1074, 0.8111], [0.8111, 0.7037, 0.5148], [0.8926, 0.1889, 0.7037], [0.1074, 0.8111, 0.2963], [0.1889, 0.7037, 0.8926], [0.1889, 0.2963, 0.4852], [0.7037, 0.5148, 0.8111], [0.7037, 0.8926, 0.1889], [0.8111, 0.2963, 0.1074], [0.2963, 0.4852, 0.1889], [0.4852, 0.1889, 0.2963], [0.5148, 0.8111, 0.7037], [0.5000, 0.1238, 0.6238], [0.5000, 0.8762, 0.3762], [0.8762, 0.3762, 0.5000], [0.3762, 0.5000, 0.8762], [0.6238, 0.5000, 0.1238], [0.1238, 0.6238, 0.5000], [0.0000, 0.0000, 0.0000]],
  "magnetic_moment_mub_per_cell": 0.000,
  "n_ef_per_ev_atom": 0.794,
  "energy_ev_per_atom": -4.43
}



17.
{
  "formula": "TbCd3Cu8",
  "functional": "PBE",
  "state": "relaxed",
  "cell": [[4.8477, 0.0000, 1.4634], [2.2030, 4.3182, 1.4634], [-0.0229, -0.0140, 8.8369]],
  "species": ["Cu", "Cu", "Cu", "Cu", "Cu", "Cu", "Cu", "Cu", "Cd", "Cd", "Cd", "Tb"],
  "frac_coords": [[0.4388, 0.9392, 0.1833], [0.9372, 0.4362, 0.6895], [0.1873, 0.1873, 0.4382], [0.6878, 0.6878, 0.9365], [0.4388, 0.4388, 0.1833], [0.4362, 0.9372, 0.6895], [0.9392, 0.4388, 0.1833], [0.9372, 0.9372, 0.6895], [0.0031, 0.0031, 0.9907], [0.3744, 0.3744, 0.8768], [0.4949, 0.4949, 0.5153], [0.8753, 0.8753, 0.3741]],
  "magnetic_moment_mub_per_cell": 0.000,
  "n_ef_per_ev_atom": 0.435,
  "energy_ev_per_atom": -3.45,
  "relative_energy_ev_per_atom": 0.000
}



18.
{
  "formula": "Tb2CdCu3",
  "functional": "PBE",
  "state": "relaxed",
  "cell": [[-2.1137, -4.1195, 3.3633], [4.6895, 1.7518, 2.7730], [-5.4409, 6.3726, 0.6771]],
  "species": ["Tb", "Tb", "Tb", "Tb", "Cu", "Cu", "Cu", "Cu", "Cu", "Cu", "Cd", "Cd"],
  "frac_coords": [[0.2418, 0.2418, 0.0000], [0.2500, 0.7500, 0.5000], [0.7582, 0.7582, 0.0000], [0.7500, 0.2500, 0.5000], [0.1609, 0.1609, 0.3217], [0.3236, 0.8395, 0.1631], [0.8391, 0.8391, 0.6783], [0.8395, 0.3236, 0.1631], [0.6764, 0.1605, 0.8369], [0.1605, 0.6764, 0.8369], [0.6662, 0.6662, 0.3324], [0.3338, 0.3338, 0.6676]],
  "magnetic_moment_mub_per_cell": 0.000,
  "n_ef_per_ev_atom": 0.581,
  "energy_ev_per_atom": -3.95
}



19.
{
  "formula": "Tb3Cd4Cu2",
  "functional": "PBE",
  "state": "relaxed",
  "cell": [[4.5793, 0.0000, 1.2216], [2.0094, 5.4297, 1.6613], [0.2643, -0.2811, 8.2031]],
  "species": ["Tb", "Tb", "Tb", "Cd", "Cd", "Cd", "Cd", "Cu", "Cu"],
  "frac_coords": [[0.0000, 0.0000, 0.0000], [0.3201, 0.7170, 0.6428], [0.6799, 0.2830, 0.3572], [0.9681, 0.7004, 0.3634], [0.2867, 0.3695, 0.0571], [0.0319, 0.2996, 0.6366], [0.7133, 0.6305, 0.9429], [0.5910, 0.0782, 0.7397], [0.4090, 0.9218, 0.2603]],
  "magnetic_moment_mub_per_cell": 0.000,
  "n_ef_per_ev_atom": 0.693,
  "energy_ev_per_atom": -3.11
}



20.
{
  "formula": "TbCd11Cu",
  "functional": "PBE",
  "state": "relaxed",
  "cell": [[5.3738, -0.0016, 2.2388], [2.6335, 6.9813, 1.0971], [-0.0126, -0.0008, 7.5989]],
  "species": ["Cd", "Cd", "Cd", "Cd", "Cd", "Cd", "Cd", "Cd", "Cd", "Cd", "Cd", "Cu", "Tb"],
  "frac_coords": [[0.0175, 0.6439, 0.3406], [0.0000, 0.0000, 0.5000], [0.5103, 0.2173, 0.7927], [0.3581, 0.6439, 0.6594], [0.5000, 0.0000, 0.5000], [0.3030, 0.2173, 0.2073], [0.0000, 0.5000, 0.0000], [0.4897, 0.7827, 0.2073], [0.9825, 0.3561, 0.6594], [0.6419, 0.3561, 0.3406], [0.6970, 0.7827, 0.7927], [0.5000, 0.5000, 0.0000], [0.0000, 0.0000, 0.0000]],
  "magnetic_moment_mub_per_cell": 0.000,
  "n_ef_per_ev_atom": 0.417,
  "energy_ev_per_atom": -1.52
}



21.
{
  "formula": "Tb7Cd2Cu2",
  "functional": "PBE",
  "state": "relaxed",
  "cell": [[-2.1219, 5.8103, -2.9416], [-0.2477, -3.2876, -6.3170], [-5.4292, -3.6130, 2.0942]],
  "species": ["Cu", "Cu", "Tb", "Tb", "Tb", "Tb", "Tb", "Tb", "Tb", "Cd", "Cd"],
  "frac_coords": [[0.7009, 0.0000, 0.2991], [0.2991, 0.0000, 0.7009], [0.5002, 0.7559, 0.4998], [0.0002, 0.7436, 0.4997], [0.0000, 0.0000, 0.0000], [0.5003, 0.7436, 0.9998], [0.4997, 0.2564, 0.0002], [0.9998, 0.2564, 0.5003], [0.4998, 0.2441, 0.5002], [0.8263, 0.5000, 0.8263], [0.1737, 0.5000, 0.1737]],
  "magnetic_moment_mub_per_cell": 0.000,
  "n_ef_per_ev_atom": 1.135,
  "energy_ev_per_atom": -3.86
}